Entry 1:
This record from the Alexandria database describes crystalline LiSm2Hg3 at its relaxed geometry. The functional is PBE.

The structure in extended XYZ format:
```
12
Lattice="5.889 1.261 0.000 0.895 5.956 0.000 -3.392 -3.608 8.587" Properties=species:S:1:pos:R:3 pbc="T T T"
Hg 1.786 1.899 1.494
Hg 3.392 3.608 5.600
Hg 1.607 1.709 7.093
Hg 4.999 5.317 1.494
Hg -1.607 -1.709 7.093
Hg 0.000 0.000 2.987
Li 3.392 3.608 2.867
Li 0.000 0.000 5.720
Sm 0.448 2.978 4.293
Sm 4.666 2.411 0.000
Sm 2.945 0.630 4.293
Sm 2.119 4.806 0.000
```

Output
ΔH_f (0 K)   -0.398 eV/atom
DOS at the Fermi energy   8.97 states/eV per cell
Magnetization   0.00 μB per formula unit
VASP energy   -29.30 eV per cell

Entry 2:
This record from the Alexandria database describes crystalline LiSm2Hg4 at its relaxed geometry. The functional is PBE.

The structure in extended XYZ format:
```
7
Lattice="4.786 0.000 0.000 0.000 4.786 0.000 -2.393 -2.393 7.965" Properties=species:S:1:pos:R:3 pbc="T T T"
Sm 0.000 0.000 5.735
Sm 2.393 2.393 2.229
Hg 0.000 2.393 0.000
Hg 2.393 0.000 0.000
Hg 0.000 0.000 2.664
Hg 2.393 2.393 5.301
Li 0.000 0.000 0.000
```

Output
ΔH_f (0 K)   -0.233 eV/atom
DOS at the Fermi energy   7.96 states/eV per cell
Magnetization   0.00 μB per formula unit
VASP energy   -14.19 eV per cell

Entry 3:
This record from the Alexandria database describes crystalline LiSm2Hg3 at its relaxed geometry. The functional is PBE.

The structure in extended XYZ format:
```
12
Lattice="5.198 0.000 0.000 -2.599 4.502 0.000 0.000 0.000 12.817" Properties=species:S:1:pos:R:3 pbc="T T T"
Li 2.599 1.501 4.311
Li 0.000 3.001 8.506
Hg 0.000 0.000 9.530
Hg 2.599 1.501 1.192
Hg 0.000 3.001 5.452
Hg 0.000 0.000 3.287
Hg 0.000 3.001 11.626
Hg 2.599 1.501 7.365
Sm 2.599 1.501 10.475
Sm 0.000 0.000 0.000
Sm 0.000 0.000 6.409
Sm 0.000 3.001 2.342
```

Output
ΔH_f (0 K)   -0.452 eV/atom
DOS at the Fermi energy   8.24 states/eV per cell
Magnetization   0.00 μB per formula unit
VASP energy   -29.94 eV per cell

Entry 4:
This record from the Alexandria database describes crystalline Li4SmHg2 at its relaxed geometry. The functional is PBE.

The structure in extended XYZ format:
```
14
Lattice="4.461 0.000 0.000 0.000 8.077 0.000 0.000 0.000 8.077" Properties=species:S:1:pos:R:3 pbc="T T T"
Li 0.000 5.257 7.307
Li 2.231 3.269 6.859
Li 0.000 2.820 0.770
Li 2.231 4.808 1.218
Li 0.000 7.307 5.257
Li 2.231 1.218 4.808
Li 2.231 6.859 3.269
Li 0.000 0.770 2.820
Sm 2.231 0.000 0.000
Sm 0.000 4.039 4.039
Hg 2.231 2.325 2.325
Hg 0.000 6.364 1.713
Hg 0.000 1.713 6.364
Hg 2.231 5.752 5.752
```

Output
ΔH_f (0 K)   -0.283 eV/atom
DOS at the Fermi energy   10.37 states/eV per cell
Magnetization   0.00 μB per formula unit
VASP energy   -29.91 eV per cell

Entry 5:
This record from the Alexandria database describes crystalline LiSmHg2 at its relaxed geometry. The functional is PBE.

The structure in extended XYZ format:
```
4
Lattice="-3.464 -2.000 3.159 -2.045 -4.557 -1.015 1.202 -4.031 2.879" Properties=species:S:1:pos:R:3 pbc="T T T"
Hg -3.230 -7.940 3.767
Hg -1.077 -2.647 1.256
Li -2.153 -5.294 2.511
Sm 0.000 0.000 0.000
```

Output
ΔH_f (0 K)   -0.455 eV/atom
DOS at the Fermi energy   2.38 states/eV per cell
Magnetization   0.00 μB per formula unit
VASP energy   -9.06 eV per cell

Entry 6:
This record from the Alexandria database describes crystalline Li2SmHg6 at its relaxed geometry. The functional is PBE.

The structure in extended XYZ format:
```
9
Lattice="-5.432 -1.956 -1.863 1.536 -0.432 5.853 -2.907 6.864 1.270" Properties=species:S:1:pos:R:3 pbc="T T T"
Sm 0.000 0.000 0.000
Li -2.240 2.492 3.916
Li -4.563 1.984 1.344
Hg 0.179 1.177 3.189
Hg -1.551 5.255 3.933
Hg -5.029 4.494 0.082
Hg -4.268 4.275 3.010
Hg -3.310 0.413 -0.675
Hg -2.535 0.201 2.249
```

Output
ΔH_f (0 K)   -0.157 eV/atom
DOS at the Fermi energy   4.05 states/eV per cell
Magnetization   0.00 μB per formula unit
VASP energy   -11.77 eV per cell

Number 1: theoretical density 10.36 Mg/m³. Number 2: theoretical density 10.10 Mg/m³. Number 3: theoretical density 10.07 Mg/m³. Number 4: theoretical density 6.61 Mg/m³. Number 5: theoretical density 9.91 Mg/m³. Number 6: theoretical density 9.43 Mg/m³.